[1]
Compound: RbPdS3
Source: Alexandria
Functional: PBE-GGA
Structure: relaxed Values from VASP.

VASP energy: -2.0130 eV/atom

The structure in Quantum ESPRESSO input format:
```
&SYSTEM
  ibrav = 0, nat = 5, ntyp = 3
/
ATOMIC_SPECIES
Pd 106.42 Pd.upf
Rb 85.47 Rb.upf
S 32.06 S.upf
ATOMIC_POSITIONS crystal
Pd 0.500 0.500 0.500
Rb 0.000 0.000 0.000
S 0.000 0.000 0.500
S 0.000 0.500 0.000
S 0.500 0.000 0.000
CELL_PARAMETERS angstrom
-2.899 -2.571 -3.893
4.349 -3.147 -1.160
-1.688 -3.695 3.697
```

---

[2]
Compound: KNpTlBr6
Source: Alexandria
Functional: PBE-GGA
Structure: relaxed Values from VASP.

VASP energy: -4.2359 eV/atom

The structure in Quantum ESPRESSO input format:
```
&SYSTEM
  ibrav = 0, nat = 18, ntyp = 4
/
ATOMIC_SPECIES
Br 79.90 Br.upf
Np 237.00 Np.upf
Tl 204.38 Tl.upf
K 39.10 K.upf
ATOMIC_POSITIONS crystal
Br 0.333 0.384 0.871
Br 0.949 0.333 0.129
Br 0.333 0.949 0.629
Br 0.667 0.616 0.129
Br 0.051 0.667 0.871
Br 0.667 0.051 0.371
Br 0.384 0.051 0.129
Br 0.616 0.949 0.871
Br 0.384 0.333 0.371
Br 0.949 0.616 0.371
Br 0.616 0.667 0.629
Br 0.051 0.384 0.629
Np 0.333 0.667 0.750
Np 0.667 0.333 0.250
Tl 0.000 0.000 0.500
Tl 0.000 0.000 0.000
K 0.667 0.333 0.750
K 0.333 0.667 0.250
CELL_PARAMETERS angstrom
8.054 0.000 0.000
-4.027 6.975 0.000
0.000 0.000 13.285
```

---

[3]
Compound: SrScN
Source: Alexandria
Functional: PBE-GGA
Structure: relaxed Values from VASP.

VASP energy: -6.3236 eV/atom

The structure in Quantum ESPRESSO input format:
```
&SYSTEM
  ibrav = 0, nat = 12, ntyp = 3
/
ATOMIC_SPECIES
Sc 44.96 Sc.upf
Sr 87.62 Sr.upf
N 14.01 N.upf
ATOMIC_POSITIONS crystal
Sc 0.967 0.851 0.622
Sc 0.467 0.649 0.622
Sc 0.033 0.149 0.378
Sc 0.533 0.351 0.378
Sr 0.377 0.894 0.195
Sr 0.877 0.606 0.195
Sr 0.623 0.106 0.805
Sr 0.123 0.394 0.805
N 0.181 0.867 0.472
N 0.681 0.633 0.472
N 0.819 0.133 0.528
N 0.319 0.367 0.528
CELL_PARAMETERS angstrom
-4.931 -3.482 0.586
2.925 -4.814 -3.997
5.834 -0.637 5.037
```

---

[4]
Compound: BaNaH2
Source: Alexandria
Functional: PBE-GGA
Structure: relaxed Values from VASP.

ΔE to the lowest computed polymorph: 115 meV per atom

The structure in Quantum ESPRESSO input format:
```
&SYSTEM
  ibrav = 0, nat = 4, ntyp = 3
/
ATOMIC_SPECIES
H 1.01 H.upf
Na 22.99 Na.upf
Ba 137.33 Ba.upf
ATOMIC_POSITIONS crystal
H 0.000 0.000 0.357
H 0.000 0.000 0.643
Na 0.500 0.500 0.000
Ba 0.500 0.500 0.500
CELL_PARAMETERS angstrom
-1.114 2.822 -1.746
0.785 -1.565 -3.031
-7.550 -3.176 -0.316
```

---

[5]
Compound: Er7Al2Sn2
Source: Alexandria
Functional: PBE-GGA
Structure: relaxed Values from VASP.

DFT formation energy: -0.15 eV per atom

The structure in Quantum ESPRESSO input format:
```
&SYSTEM
  ibrav = 0, nat = 11, ntyp = 3
/
ATOMIC_SPECIES
Er 167.26 Er.upf
Al 26.98 Al.upf
Sn 118.71 Sn.upf
ATOMIC_POSITIONS crystal
Er 0.000 0.000 0.000
Er 0.000 0.292 0.500
Er 0.500 0.292 0.000
Er 0.500 0.280 0.500
Er 0.000 0.708 0.500
Er 0.500 0.708 0.000
Er 0.500 0.720 0.500
Al 0.170 0.500 0.170
Al 0.830 0.500 0.830
Sn 0.299 0.000 0.701
Sn 0.701 0.000 0.299
CELL_PARAMETERS angstrom
6.593 -0.003 -0.907
0.004 7.665 0.003
-1.316 -0.002 6.524
```

---

[6]
Compound: HgOs2
Source: Alexandria
Functional: PBE-GGA
Structure: relaxed Values from VASP.

ΔE to the lowest computed polymorph: 152 meV per atom
DFT formation energy: 0.55 eV per atom

The structure in Quantum ESPRESSO input format:
```
&SYSTEM
  ibrav = 0, nat = 6, ntyp = 2
/
ATOMIC_SPECIES
Os 190.23 Os.upf
Hg 200.59 Hg.upf
ATOMIC_POSITIONS crystal
Os 0.545 0.455 0.250
Os 0.455 0.545 0.750
Os 0.908 0.092 0.250
Os 0.092 0.908 0.750
Hg 0.792 0.208 0.750
Hg 0.208 0.792 0.250
CELL_PARAMETERS angstrom
1.410 -8.024 0.000
1.410 8.024 0.000
0.000 0.000 4.478
```

---

[7]
Compound: Mn3SiIr
Source: Alexandria
Functional: PBE-GGA
Structure: relaxed Values from VASP.

ΔE to the lowest computed polymorph: 0 meV per atom

The structure in Quantum ESPRESSO input format:
```
&SYSTEM
  ibrav = 0, nat = 20, ntyp = 3
/
ATOMIC_SPECIES
Mn 54.94 Mn.upf
Si 28.09 Si.upf
Ir 192.22 Ir.upf
ATOMIC_POSITIONS crystal
Mn 0.370 0.789 0.951
Mn 0.130 0.211 0.451
Mn 0.951 0.370 0.789
Mn 0.630 0.289 0.549
Mn 0.451 0.130 0.211
Mn 0.711 0.049 0.870
Mn 0.549 0.630 0.289
Mn 0.049 0.870 0.711
Mn 0.789 0.951 0.370
Mn 0.289 0.549 0.630
Mn 0.211 0.451 0.130
Mn 0.870 0.711 0.049
Si 0.059 0.059 0.059
Si 0.941 0.559 0.441
Si 0.441 0.941 0.559
Si 0.559 0.441 0.941
Ir 0.812 0.312 0.188
Ir 0.312 0.188 0.812
Ir 0.188 0.812 0.312
Ir 0.688 0.688 0.688
CELL_PARAMETERS angstrom
-6.281 0.431 0.792
-0.895 -2.323 -5.836
-0.107 -5.889 2.360
```

---

[8]
Compound: Nb2PbS
Source: Alexandria
Functional: PBE-GGA
Structure: relaxed Values from VASP.

ΔE to the lowest computed polymorph: 227 meV per atom

The structure in Quantum ESPRESSO input format:
```
&SYSTEM
  ibrav = 0, nat = 8, ntyp = 3
/
ATOMIC_SPECIES
Nb 92.91 Nb.upf
Pb 207.20 Pb.upf
S 32.06 S.upf
ATOMIC_POSITIONS crystal
Nb 0.375 0.502 0.750
Nb 0.252 0.625 0.250
Nb 0.875 0.748 0.750
Nb 0.498 0.125 0.250
Pb 0.000 0.000 0.000
Pb 0.750 0.250 0.500
S 0.250 0.750 0.500
S 0.500 0.500 0.000
CELL_PARAMETERS angstrom
4.828 0.000 0.000
0.000 4.828 0.000
2.414 2.414 8.233
```

---

no.,calculated density (g/cm³)
1,2.89
2,4.27
3,3.48
4,2.68
5,7.58
6,19.04
7,10.01
8,7.36